Record 1
# PBEsol K2MgCl4, optimized geometry
data_K2MgCl4
_cell_length_a 4.925
_cell_length_b 4.925
_cell_length_c 15.439
_cell_angle_alpha 90.00
_cell_angle_beta 90.00
_cell_angle_gamma 90.00
_symmetry_space_group_name_H-M 'I 4/m m m'
_symmetry_Int_Tables_number 139
_symmetry_space_group_name_Hall '-I 4 2'
loop_
_atom_site_label
_atom_site_type_symbol
_atom_site_fract_x
_atom_site_fract_y
_atom_site_fract_z
K1 K 0.000 0.000 0.141
Mg1 Mg 0.000 0.000 0.500
Cl1 Cl 0.000 0.000 0.339
Cl2 Cl 0.000 0.500 0.000
# Total magnetization, μB per formula unit: 0.00
# N(E_F), states/eV/atom: 0.0000
# VASP energy, eV per atom: -3.635
# Calculated volume, Å³/atom: 26.74
# Formation energy (no corrections), eV per formula unit: -13.4

Record 2
# PBEsol NaY3Ga, optimized geometry
data_NaY3Ga
_cell_length_a 5.316
_cell_length_b 5.316
_cell_length_c 5.316
_cell_angle_alpha 90.00
_cell_angle_beta 90.00
_cell_angle_gamma 90.00
_symmetry_space_group_name_H-M 'P m -3 m'
_symmetry_Int_Tables_number 221
_symmetry_space_group_name_Hall '-P 4 2 3'
loop_
_atom_site_label
_atom_site_type_symbol
_atom_site_fract_x
_atom_site_fract_y
_atom_site_fract_z
Na1 Na 0.000 0.000 0.000
Y1 Y 0.000 0.000 0.500
Ga1 Ga 0.500 0.500 0.500
# Total magnetization, μB per formula unit: 0.29
# N(E_F), states/eV/atom: 1.5745
# VASP energy, eV per atom: -4.134
# Calculated volume, Å³/atom: 30.04
# Energy relative to the elements, eV per atom: 0.908

Record 3
# PBEsol Sm2AlAg3, optimized geometry
data_Sm2AlAg3
_cell_length_a 10.441
_cell_length_b 4.604
_cell_length_c 7.061
_cell_angle_alpha 90.00
_cell_angle_beta 130.31
_cell_angle_gamma 90.00
_symmetry_space_group_name_H-M 'C 1 m 1'
_symmetry_Int_Tables_number 8
_symmetry_space_group_name_Hall 'C -2y'
loop_
_atom_site_label
_atom_site_type_symbol
_atom_site_fract_x
_atom_site_fract_y
_atom_site_fract_z
Sm1 Sm 0.000 0.000 0.000
Sm2 Sm 0.087 0.000 0.592
Al1 Al 0.215 0.500 0.406
Ag1 Ag 0.204 0.500 0.006
Ag2 Ag 0.369 0.000 0.575
Ag3 Ag 0.393 0.000 0.187
# Total magnetization, μB per formula unit: 0.00
# N(E_F), states/eV/atom: 0.6890
# VASP energy, eV per atom: -4.375
# Calculated volume, Å³/atom: 21.57
# Energy relative to the elements, eV per atom: -0.340

Record 4
# PBEsol Mn2TlAs, optimized geometry
data_Mn2TlAs
_cell_length_a 3.842
_cell_length_b 3.842
_cell_length_c 9.127
_cell_angle_alpha 90.00
_cell_angle_beta 90.00
_cell_angle_gamma 90.00
_symmetry_space_group_name_H-M 'I -4 m 2'
_symmetry_Int_Tables_number 119
_symmetry_space_group_name_Hall 'I -4 -2'
loop_
_atom_site_label
_atom_site_type_symbol
_atom_site_fract_x
_atom_site_fract_y
_atom_site_fract_z
Mn1 Mn 0.000 0.000 0.000
Mn2 Mn 0.000 0.500 0.250
Tl1 Tl 0.000 0.000 0.500
As1 As 0.000 0.500 0.750
# Total magnetization, μB per formula unit: 7.11
# N(E_F), states/eV/atom: 0.5812
# VASP energy, eV per atom: -6.403
# Calculated volume, Å³/atom: 16.84
# Energy relative to the elements, eV per atom: 0.412